Entry 1:
DFT (PBE) results for an optimized crystal structure of AsOsAu2.

## Properties
The value obtained for the total energy is -4.9053 eV per atom. The value obtained for the calculated formation energy is 2.8 eV per formula unit.

Structure (CIF):
```
data_AsOsAu2
_cell_length_a 5.3695
_cell_length_b 5.3695
_cell_length_c 5.3695
_cell_angle_alpha 137.92
_cell_angle_beta 137.92
_cell_angle_gamma 61.02
_space_group_name_H-M_alt 'P 1'
_space_group_IT_number 1
loop_
_space_group_symop_operation_xyz
'x,y,z'
loop_
_atom_site_label
_atom_site_type_symbol
_atom_site_fract_x
_atom_site_fract_y
_atom_site_fract_z
As1 As 0.0000 0.0000 0.0000
Os1 Os 0.5000 0.5000 0.0000
Au1 Au 0.2500 0.7500 0.5000
Au2 Au 0.7500 0.2500 0.5000
```

=====

Entry 2:
DFT (PBE) results for an optimized crystal structure of As2OsAu.

## Properties
The value obtained for the total energy is -5.2225 eV per atom. Its energy above the most stable polymorph in this dataset is 505 meV per atom. The value obtained for the calculated formation energy is 2.9 eV per formula unit.

Structure (CIF):
```
data_As2OsAu
_cell_length_a 2.9671
_cell_length_b 4.5950
_cell_length_c 4.9861
_cell_angle_alpha 90.00
_cell_angle_beta 90.00
_cell_angle_gamma 90.00
_space_group_name_H-M_alt 'P 1'
_space_group_IT_number 1
loop_
_space_group_symop_operation_xyz
'x,y,z'
loop_
_atom_site_label
_atom_site_type_symbol
_atom_site_fract_x
_atom_site_fract_y
_atom_site_fract_z
As1 As 0.0000 0.0000 0.0000
As2 As 0.5000 0.0000 0.5000
Os1 Os 0.0000 0.5000 0.5000
Au1 Au 0.5000 0.5000 0.0000
```

=====

Entry 3:
DFT (PBE) results for an optimized crystal structure of AsOsAu2.

## Properties
The value obtained for the total energy is -4.9812 eV per atom. The value obtained for the calculated formation energy is 2.5 eV per formula unit.

Structure (CIF):
```
data_AsOsAu2
_cell_length_a 4.7351
_cell_length_b 4.7351
_cell_length_c 4.7351
_cell_angle_alpha 125.65
_cell_angle_beta 125.65
_cell_angle_gamma 80.46
_space_group_name_H-M_alt 'P 1'
_space_group_IT_number 1
loop_
_space_group_symop_operation_xyz
'x,y,z'
loop_
_atom_site_label
_atom_site_type_symbol
_atom_site_fract_x
_atom_site_fract_y
_atom_site_fract_z
As1 As 0.0000 0.0000 0.0000
Os1 Os 0.7500 0.2500 0.5000
Au1 Au 0.2500 0.7500 0.5000
Au2 Au 0.5000 0.5000 0.0000
```

=====

Entry 4:
DFT (PBE) results for an optimized crystal structure of As2OsAu.

## Properties
The value obtained for the total energy is -5.6066 eV per atom. Its energy above the most stable polymorph in this dataset is 121 meV per atom. The value obtained for the calculated formation energy is 1.4 eV per formula unit.

Structure (CIF):
```
data_As2OsAu
_cell_length_a 2.9831
_cell_length_b 2.9831
_cell_length_c 8.1925
_cell_angle_alpha 90.00
_cell_angle_beta 90.00
_cell_angle_gamma 90.00
_space_group_name_H-M_alt 'P 1'
_space_group_IT_number 1
loop_
_space_group_symop_operation_xyz
'x,y,z'
loop_
_atom_site_label
_atom_site_type_symbol
_atom_site_fract_x
_atom_site_fract_y
_atom_site_fract_z
As1 As 0.0000 0.0000 0.0000
As2 As 0.5000 0.5000 0.3437
Os1 Os 0.5000 0.5000 0.8322
Au1 Au 0.0000 0.0000 0.5807
```

=====

For each record above, in turn, the calculated total moment values are 1.13, 0.00, 0.00, 0.00 μB/cell.